The following is a PBE-GGA calculation of a relaxed Hf2Ir2Rh crystal, from the Alexandria database.

abc: 6.9998 6.9998 3.6319
angles: 90.00 90.00 90.00
Last column: nearest neighbours and their distance in Å.
Fractional positions:
Ir  0.6305  0.1305  0.0000  1 Ir 2.58, 6 Hf 2.65-2.82, 2 Rh 2.74
Ir  0.3695  0.8695  0.0000  1 Ir 2.58, 6 Hf 2.65-2.82, 2 Rh 2.74
Hf  0.3251  0.1749  0.5000  6 Ir 2.65-2.82
Rh  0.0000  0.0000  0.0000  4 Ir 2.74
Hf  0.1749  0.6749  0.5000  6 Ir 2.65-2.82
Hf  0.6749  0.8251  0.5000  6 Ir 2.65-2.82
Hf  0.8251  0.3251  0.5000  6 Ir 2.65-2.82
Ir  0.8695  0.6305  0.0000  1 Ir 2.58, 6 Hf 2.65-2.82, 2 Rh 2.74
Ir  0.1305  0.3695  0.0000  1 Ir 2.58, 6 Hf 2.65-2.82, 2 Rh 2.74
Rh  0.5000  0.5000  0.0000  4 Ir 2.74

Output
V (Å³/f.u.): 89
Energy of formation (kcal/mol of atoms): -15.68
Excess energy over the best structure of this formula in the dataset (meV per atom): 0.0
Crystal system: tetragonal